Density functional theory data (PBE-GGA) for La2Al5Ag4 after structural relaxation.

Geometry as extended XYZ:
```
11
Lattice="-2.781 4.452 4.764 2.781 -4.452 4.764 2.781 4.452 -4.764" Properties=species:S:1:pos:R:3 pbc="T T T"
La 0.000 2.068 0.000
La 0.000 6.836 0.000
Al 2.781 0.000 0.000
Al 1.379 4.452 -2.296
Al 1.402 0.000 2.468
Al 1.379 4.452 2.296
Al 1.402 0.000 7.059
Ag 2.781 2.278 -1.562
Ag 2.781 2.278 1.562
Ag 0.000 2.174 3.202
Ag 0.000 2.174 6.325
```

Properties
Energy above the most stable polymorph in this dataset in meV per atom: 0
Formation energy from the elements in eV per atom: -0.32
Calculated volume in A^3/atom: 21.446
E in eV/atom: -3.95



Density functional theory data (PBE-GGA) for Nd4YHo2Mg after structural relaxation.

Geometry as extended XYZ:
```
8
Lattice="5.090 0.000 0.000 0.000 5.090 0.000 0.000 0.000 9.961" Properties=species:S:1:pos:R:3 pbc="T T T"
Nd 0.000 2.545 2.441
Nd 0.000 2.545 7.520
Nd 2.545 0.000 2.441
Nd 2.545 0.000 7.520
Y 0.000 0.000 4.980
Ho 0.000 0.000 0.000
Ho 2.545 2.545 4.980
Mg 2.545 2.545 0.000
```

Properties
Formation energy from the elements in eV per atom: 0.01
Calculated volume in A^3/atom: 32.258
E in eV/atom: -4.53



Density functional theory data (PBE-GGA) for TbSc3Te6 after structural relaxation.

Geometry as extended XYZ:
```
20
Lattice="12.066 0.000 0.000 0.000 4.198 0.000 -4.107 0.000 11.635" Properties=species:S:1:pos:R:3 pbc="T T T"
Tb -0.237 1.050 2.328
Tb 8.195 3.149 9.307
Sc -0.513 1.050 6.777
Sc -0.279 3.149 11.605
Sc 3.879 1.050 3.934
Sc 4.080 3.149 7.701
Sc 8.238 1.050 0.030
Sc 8.472 3.149 4.857
Te -0.665 3.149 4.729
Te -2.572 1.050 11.270
Te -0.681 3.149 8.716
Te 2.248 3.149 2.610
Te 2.411 1.050 6.524
Te 5.301 1.050 1.359
Te 2.658 3.149 10.275
Te 5.548 3.149 5.111
Te 5.711 1.050 9.025
Te 8.640 1.050 2.919
Te 10.531 3.149 0.365
Te 8.624 1.050 6.905
```

Properties
Calculated volume in A^3/atom: 29.470
E in eV/atom: -5.49